Entry 1:
Material: Tm6CuSb3
Method: DFT, PBE
State: optimized geometry

Computed properties:
Total magnetic moment ... 0.000 Bohr magnetons per cell
Theoretical density ... 8485 kg/m³
Energy relative to the elements, uncorrected ... -502 meV per atom
Volume ... 28.23 Å³ per atom
Final energy ... -4.8309 eV/atom

a b c (Å): 10.8495 15.2605 6.8199
angles (deg): 90.00 90.00 90.00
Space group Cmc2_1 (No. 36)
Symmetry-distinct sites (fractional):
Tm: 0.0000 0.0203 0.0000 [4 per cell]
Tm: 0.0000 0.2483 0.0784 [4 per cell]
Tm: 0.1686 0.2718 0.5665 [8 per cell]
Tm: 0.1969 0.4403 0.1854 [8 per cell]
Cu: 0.0000 0.1494 0.7168 [4 per cell]
Sb: 0.0000 0.4327 0.5020 [4 per cell]
Sb: 0.1738 0.1071 0.3025 [8 per cell]


Entry 2:
Material: TmCu4Sb
Method: DFT, PBE
State: optimized geometry

Computed properties:
Total magnetic moment ... 0.000 Bohr magnetons per cell
Theoretical density ... 9256 kg/m³
Energy relative to the elements, uncorrected ... -175 meV per atom
Volume ... 16.29 Å³ per atom
Final energy ... -4.3382 eV/atom

a b c (Å): 7.3125 7.3125 7.3125
angles (deg): 90.00 90.00 90.00
Space group F-43m (No. 216)
Symmetry-distinct sites (fractional):
Tm: 0.0000 0.0000 0.0000 [4 per cell]
Cu: 0.1253 0.1253 0.3747 [16 per cell]
Sb: 0.2500 0.2500 0.7500 [4 per cell]


Entry 3:
Material: Tm3Cu3Sb4
Method: DFT, PBE
State: optimized geometry

Computed properties:
Total magnetic moment ... 0.000 Bohr magnetons per cell
Theoretical density ... 9107 kg/m³
Energy relative to the elements, uncorrected ... -680 meV per atom
Volume ... 21.60 Å³ per atom
Final energy ... -4.8991 eV/atom

a b c (Å): 9.5239 9.5239 9.5239
angles (deg): 90.00 90.00 90.00
Space group I-43d (No. 220)
Symmetry-distinct sites (fractional):
Tm: 0.0000 0.2500 0.8750 [12 per cell]
Cu: 0.0000 0.2500 0.3750 [12 per cell]
Sb: 0.0808 0.4192 0.5808 [16 per cell]


Entry 4:
Material: TmCuSb2
Method: DFT, PBE
State: optimized geometry

Computed properties:
Total magnetic moment ... 0.000 Bohr magnetons per cell
Theoretical density ... 8810 kg/m³
Energy relative to the elements, uncorrected ... -560 meV per atom
Volume ... 22.43 Å³ per atom
Final energy ... -4.7630 eV/atom

a b c (Å): 4.3078 4.3078 9.6692
angles (deg): 90.00 90.00 90.00
Space group P4/nmm (No. 129, origin choice 2)
Symmetry-distinct sites (fractional):
Tm: 0.2500 0.2500 0.2502 [2 per cell]
Cu: 0.2500 0.7500 0.0000 [2 per cell]
Sb: 0.2500 0.2500 0.8354 [2 per cell]
Sb: 0.2500 0.7500 0.5000 [2 per cell]


Entry 5:
Material: Tm6Cu2Sb
Method: DFT, PBE
State: optimized geometry

Computed properties:
Total magnetic moment ... 0.000 Bohr magnetons per cell
Theoretical density ... 9232 kg/m³
Energy relative to the elements, uncorrected ... -337 meV per atom
Volume ... 25.23 Å³ per atom
Final energy ... -4.6858 eV/atom

a b c (Å): 9.1468 9.5575 10.3902
angles (deg): 90.00 90.00 90.00
Space group Immm (No. 71)
Symmetry-distinct sites (fractional):
Tm: 0.0000 0.2008 0.2313 [8 per cell]
Tm: 0.1911 0.5000 0.1791 [8 per cell]
Tm: 0.2110 0.3123 0.5000 [8 per cell]
Cu: 0.0000 0.3541 0.0000 [4 per cell]
Cu: 0.0000 0.5000 0.3812 [4 per cell]
Sb: 0.0000 0.0000 0.0000 [2 per cell]
Sb: 0.0000 0.0000 0.5000 [2 per cell]


Entry 6:
Material: Tm12CuSb6
Method: DFT, PBE
State: optimized geometry

Computed properties:
Total magnetic moment ... 0.000 Bohr magnetons per cell
Theoretical density ... 8243 kg/m³
Energy relative to the elements, uncorrected ... -547 meV per atom
Volume ... 29.91 Å³ per atom
Final energy ... -4.8887 eV/atom

a b c (Å): 12.9525 12.9525 11.7353
angles (deg): 90.00 90.00 120.00
Space group R-3 (No. 148, hexagonal axes)
Symmetry-distinct sites (fractional):
Tm: 0.0272 0.8408 0.3835 [18 per cell]
Tm: 0.0606 0.8655 0.8817 [18 per cell]
Cu: 0.0000 0.0000 0.0000 [3 per cell]
Sb: 0.0427 0.7599 0.6402 [18 per cell]


Entry 7:
Material: Tm3CuSb
Method: DFT, PBE
State: optimized geometry

Computed properties:
Total magnetic moment ... 0.000 Bohr magnetons per cell
Theoretical density ... 9028 kg/m³
Energy relative to the elements, uncorrected ... -503 meV per atom
Volume ... 25.46 Å³ per atom
Final energy ... -4.8298 eV/atom

a b c (Å): 15.2198 4.0022 8.3611
angles (deg): 90.00 91.17 90.00
Space group C2/m (No. 12)
Symmetry-distinct sites (fractional):
Tm: 0.0434 0.0000 0.2043 [4 per cell]
Tm: 0.1045 0.5000 0.5492 [4 per cell]
Tm: 0.2478 0.5000 0.2018 [4 per cell]
Cu: 0.2086 0.0000 0.4349 [4 per cell]
Sb: 0.1106 0.5000 0.9280 [4 per cell]


Entry 8:
Material: UCuSb2
Method: DFT, PBE
State: optimized geometry

Computed properties:
Total magnetic moment ... 4.742 Bohr magnetons per cell
Theoretical density ... 10031 kg/m³
Energy relative to the elements, uncorrected ... -229 meV per atom
Volume ... 22.56 Å³ per atom
Final energy ... -6.1358 eV/atom

a b c (Å): 4.3521 4.3521 9.5283
angles (deg): 90.00 90.00 90.00
Space group P4/nmm (No. 129, origin choice 2)
Symmetry-distinct sites (fractional):
U: 0.2500 0.2500 0.2474 [2 per cell]
Cu: 0.2500 0.7500 0.0000 [2 per cell]
Sb: 0.2500 0.2500 0.8319 [2 per cell]
Sb: 0.2500 0.7500 0.5000 [2 per cell]


Q: The highest energy relative to the elements, uncorrected belongs to which entry?
A: TmCu4Sb